! Na3TlHg5 PBE-GGA relaxed; values from VASP
&SYSTEM
  ibrav = 0, nat = 18, ntyp = 3
/
ATOMIC_SPECIES
Na 22.99 Na.upf
Tl 204.38 Tl.upf
Hg 200.59 Hg.upf
CELL_PARAMETERS angstrom
9.2822 0.0000 0.0000
-4.6411 8.0386 0.0000
0.0000 0.0000 6.3874
ATOMIC_POSITIONS crystal
Na 0.0000 0.3541 0.2500
Na 0.0000 0.6459 0.7500
Na 0.3541 0.0000 0.2500
Na 0.3541 0.3541 0.7500
Na 0.6459 0.0000 0.7500
Na 0.6459 0.6459 0.2500
Tl 0.0000 0.0000 0.0000
Tl 0.0000 0.0000 0.5000
Hg 0.0000 0.3176 0.7500
Hg 0.0000 0.6824 0.2500
Hg 0.3176 0.0000 0.7500
Hg 0.3176 0.3176 0.2500
Hg 0.3333 0.6667 0.0000
Hg 0.3333 0.6667 0.5000
Hg 0.6667 0.3333 0.0000
Hg 0.6667 0.3333 0.5000
Hg 0.6824 0.0000 0.2500
Hg 0.6824 0.6824 0.7500
! energy of formation from the pure elements: -186 meV/atom
! calculated total energy: -1.056 eV/atom
! magnetization: 0.00 μB/f.u.
! D(E_F): 10.132 states/eV/cell
! volume: 238.32 Å³/f.u.

! LiTbSn2 PBE-GGA relaxed; values from VASP
&SYSTEM
  ibrav = 0, nat = 8, ntyp = 3
/
ATOMIC_SPECIES
Li 6.94 Li.upf
Tb 158.93 Tb.upf
Sn 118.71 Sn.upf
CELL_PARAMETERS angstrom
2.1747 -9.6121 0.0000
2.1747 9.6121 0.0000
0.0000 0.0000 4.4995
ATOMIC_POSITIONS crystal
Li 0.1725 0.8275 0.7500
Li 0.8275 0.1725 0.2500
Tb 0.3952 0.6048 0.7500
Tb 0.6048 0.3952 0.2500
Sn 0.0443 0.9557 0.7500
Sn 0.2481 0.7519 0.2500
Sn 0.7519 0.2481 0.7500
Sn 0.9557 0.0443 0.2500
! energy above the most stable polymorph in this dataset: 0.1016 eV/atom
! energy of formation from the pure elements: -464 meV/atom
! calculated total energy: -4.102 eV/atom
! magnetization: 0.00 μB/f.u.
! D(E_F): 2.370 states/eV/cell
! volume: 94.05 Å³/f.u.

! ReGe3S PBE-GGA relaxed; values from VASP
&SYSTEM
  ibrav = 0, nat = 5, ntyp = 3
/
ATOMIC_SPECIES
Re 186.21 Re.upf
Ge 72.64 Ge.upf
S 32.06 S.upf
CELL_PARAMETERS angstrom
4.6359 0.0000 0.0000
0.0000 4.6359 0.0000
0.0000 0.0000 4.6359
ATOMIC_POSITIONS crystal
Re 0.0000 0.0000 0.0000
Ge 0.0000 0.5000 0.5000
Ge 0.5000 0.0000 0.5000
Ge 0.5000 0.5000 0.0000
S 0.5000 0.5000 0.5000
! energy above the most stable polymorph in this dataset: 0.9520 eV/atom
! calculated total energy: -4.747 eV/atom
! magnetization: 1.95 μB/f.u.
! D(E_F): 3.914 states/eV/cell
! E_form (uncorrected): 1.339 eV per atom
! volume: 99.63 Å³/f.u.

! K2RbInCl6 PBE-GGA relaxed; values from VASP
&SYSTEM
  ibrav = 0, nat = 10, ntyp = 4
/
ATOMIC_SPECIES
K 39.10 K.upf
Rb 85.47 Rb.upf
In 114.82 In.upf
Cl 35.45 Cl.upf
CELL_PARAMETERS angstrom
0.0000 5.6111 5.6111
5.6111 0.0000 5.6111
5.6111 5.6111 0.0000
ATOMIC_POSITIONS crystal
K 0.2500 0.2500 0.2500
K 0.7500 0.7500 0.7500
Rb 0.0000 0.0000 0.0000
In 0.5000 0.5000 0.5000
Cl 0.2740 0.2740 0.7260
Cl 0.2740 0.7260 0.2740
Cl 0.2740 0.7260 0.7260
Cl 0.7260 0.2740 0.2740
Cl 0.7260 0.2740 0.7260
Cl 0.7260 0.7260 0.2740
! energy above the most stable polymorph in this dataset: 0.0699 eV/atom
! calculated total energy: -3.269 eV/atom
! magnetization: 0.00 μB/f.u.
! D(E_F): 0.000 states/eV/cell
! E_form (uncorrected): -1.571 eV per atom
! volume: 353.32 Å³/f.u.

Number 2 is which compound? LiTbSn2